1.
Material: K2FeCo
Method: DFT, PBE
State: optimized geometry

Calculated values
As for the calculated density: 3809 kg/m³. Its energy of formation from the pure elements is 1345 meV per atom. For the polymorph energy (0 for the lowest one), the calculation gives 0.676 eV per atom.

a b c (Å): 2.9382 2.9382 33.7544
angles (deg): 90.00 90.00 120.00
Space group R-3m (No. 166, hexagonal axes)
Unique sites:
K  0.0000  0.0000  0.2479 [6 per cell]
Fe  0.0000  0.0000  0.0000 [3 per cell]
Co  0.0000  0.0000  0.5000 [3 per cell]

2.
Material: K2FeCo
Method: DFT, PBE
State: optimized geometry

Calculated values
As for the calculated density: 2722 kg/m³. Its energy of formation from the pure elements is 823 meV per atom. For the polymorph energy (0 for the lowest one), the calculation gives 0.154 eV per atom.

a b c (Å): 3.380 5.842 11.920
angles (deg): 90.00 90.00 90.00
Space group Imm2 (No. 44)
Unique sites:
K  0.000  0.000  0.000 [2 per cell]
K  0.000  0.500  0.202 [2 per cell]
Fe  0.000  0.500  0.801 [2 per cell]
Co  0.000  0.000  0.420 [2 per cell]

3.
Material: K2FeCo
Method: DFT, PBE
State: optimized geometry

Calculated values
As for the calculated density: 3491 kg/m³. Its energy of formation from the pure elements is 1329 meV per atom. For the polymorph energy (0 for the lowest one), the calculation gives 0.660 eV per atom.

a b c (Å): 2.887 2.887 11.017
angles (deg): 90.00 90.00 90.00
Space group P4/mmm (No. 123)
Unique sites:
K  0.000  0.000  0.241 [2 per cell]
Fe  0.500  0.500  0.500 [1 per cell]
Co  0.500  0.500  0.000 [1 per cell]

4.
Material: KFe2Co
Method: DFT, PBE
State: optimized geometry

Calculated values
As for the calculated density: 5518 kg/m³. Its energy of formation from the pure elements is 1197 meV per atom. For the polymorph energy (0 for the lowest one), the calculation gives 0.556 eV per atom.

a b c (Å): 5.471 9.087 2.539
angles (deg): 90.00 90.00 90.00
Space group Cmmm (No. 65)
Unique sites:
K  0.000  0.000  0.000 [2 per cell]
Fe  0.250  0.250  0.500 [4 per cell]
Co  0.000  0.500  0.000 [2 per cell]

5.
Material: K2FeCo
Method: DFT, PBE
State: optimized geometry

Calculated values
As for the calculated density: 3540 kg/m³. Its energy of formation from the pure elements is 1304 meV per atom. For the polymorph energy (0 for the lowest one), the calculation gives 0.635 eV per atom.

a b c (Å): 4.083 4.083 5.429
angles (deg): 90.00 90.00 90.00
Space group P4/mmm (No. 123)
Unique sites:
K  0.000  0.500  0.000 [2 per cell]
Fe  0.000  0.000  0.500 [1 per cell]
Co  0.500  0.500  0.500 [1 per cell]

6.
Material: K2FeCo
Method: DFT, PBE
State: optimized geometry

Calculated values
As for the calculated density: 3331 kg/m³. Its energy of formation from the pure elements is 1247 meV per atom. For the polymorph energy (0 for the lowest one), the calculation gives 0.578 eV per atom.

a b c (Å): 5.139 5.139 7.286
angles (deg): 90.00 90.00 90.00
Space group I-4m2 (No. 119)
Unique sites:
K  0.000  0.000  0.000 [2 per cell]
K  0.000  0.500  0.250 [2 per cell]
Fe  0.000  0.000  0.500 [2 per cell]
Co  0.000  0.500  0.750 [2 per cell]

7.
Material: K2FeCo
Method: DFT, PBE
State: optimized geometry

Calculated values
As for the calculated density: 3539 kg/m³. Its energy of formation from the pure elements is 1311 meV per atom. For the polymorph energy (0 for the lowest one), the calculation gives 0.642 eV per atom.

a b c (Å): 2.883 5.443 5.771
angles (deg): 90.00 90.00 90.00
Space group Pmmm (No. 47)
Unique sites:
K  0.000  0.000  0.248 [2 per cell]
Fe  0.500  0.500  0.500 [1 per cell]
Co  0.500  0.500  0.000 [1 per cell]

8.
Material: K2FeCo
Method: DFT, PBE
State: optimized geometry

Calculated values
As for the calculated density: 2780 kg/m³. Its energy of formation from the pure elements is 673 meV per atom. For the polymorph energy (0 for the lowest one), the calculation gives 0.004 eV per atom.

a b c (Å): 20.401 3.051 3.764
angles (deg): 90.00 100.32 90.00
Space group C2/m (No. 12)
Unique sites:
K  0.145  0.000  0.140 [4 per cell]
Fe  0.000  0.000  0.500 [2 per cell]
Co  0.000  0.500  0.000 [2 per cell]

9.
Material: KFe2Co
Method: DFT, PBE
State: optimized geometry

Calculated values
As for the calculated density: 4370 kg/m³. Its energy of formation from the pure elements is 692 meV per atom. For the polymorph energy (0 for the lowest one), the calculation gives 0.051 eV per atom.

a b c (Å): 8.136 2.817 6.977
angles (deg): 90.00 94.64 90.00
Space group C2/m (No. 12)
Unique sites:
K  0.000  0.000  0.000 [2 per cell]
Fe  0.228  0.000  0.629 [4 per cell]
Co  0.000  0.500  0.500 [2 per cell]

10.
Material: K2FeCo
Method: DFT, PBE
State: optimized geometry

Calculated values
As for the calculated density: 3487 kg/m³. Its energy of formation from the pure elements is 1327 meV per atom. For the polymorph energy (0 for the lowest one), the calculation gives 0.658 eV per atom.

a b c (Å): 3.818 4.364 11.029
angles (deg): 90.00 90.00 90.00
Space group Cmmm (No. 65)
Unique sites:
K  0.000  0.000  0.241 [4 per cell]
Fe  0.000  0.500  0.500 [2 per cell]
Co  0.000  0.500  0.000 [2 per cell]

11.
Material: K3FeCo
Method: DFT, PBE
State: optimized geometry

Calculated values
As for the calculated density: 1649 kg/m³. Its energy of formation from the pure elements is 1323 meV per atom. For the polymorph energy (0 for the lowest one), the calculation gives 0.000 eV per atom.

a b c (Å): 6.160 6.160 6.160
angles (deg): 90.00 90.00 90.00
Space group Pm-3m (No. 221)
Unique sites:
K  0.000  0.000  0.500 [3 per cell]
Fe  0.500  0.500  0.500 [1 per cell]
Co  0.000  0.000  0.000 [1 per cell]

12.
Material: KFe2Co
Method: DFT, PBE
State: optimized geometry

Calculated values
As for the calculated density: 5515 kg/m³. Its energy of formation from the pure elements is 1295 meV per atom. For the polymorph energy (0 for the lowest one), the calculation gives 0.655 eV per atom.

a b c (Å): 4.926 4.926 2.602
angles (deg): 90.00 90.00 90.00
Space group P4/mmm (No. 123)
Unique sites:
K  0.000  0.000  0.000 [1 per cell]
Fe  0.000  0.500  0.500 [2 per cell]
Co  0.500  0.500  0.000 [1 per cell]